Ca2Re, relaxed, DFT PBEsol; energy relative to the elements = 2.376 eV/f.u.; total magnetic moment = 0.001 μB/cell; crystal system = tetragonal
1.0
-1.495 1.495 7.827
1.495 -1.495 7.827
1.495 1.495 -7.827
Ca Re
2 1
Direct
0.141 0.141 0.000 Ca
0.859 0.859 0.000 Ca
0.500 0.500 0.000 Re

=====

CoCu2Br, relaxed, DFT PBEsol; ΔE_f (raw) = 0.6205 eV/atom; total magnetic moment = 0.386 μB/cell; crystal system = orthorhombic
1.0
-1.472 2.028 4.395
1.472 -2.028 4.395
1.472 2.028 -4.395
Co Cu Br
1 2 1
Direct
0.000 0.000 0.000 Co
0.242 0.742 0.500 Cu
0.758 0.258 0.500 Cu
0.500 0.500 0.000 Br

=====

TcIr2S2, relaxed, DFT PBEsol; ΔE_f (raw) = 0.7595 eV/atom; total magnetic moment = 2.300 μB/cell; crystal system = tetragonal
1.0
-1.927 1.927 5.172
1.927 -1.927 5.172
1.927 1.927 -5.172
Tc Ir S
1 2 2
Direct
0.000 0.000 0.000 Tc
0.250 0.750 0.500 Ir
0.750 0.250 0.500 Ir
0.382 0.382 0.000 S
0.618 0.618 0.000 S

=====

TlFeTc2, relaxed, DFT PBEsol; energy relative to the elements = 2.351 eV/f.u.; total magnetic moment = 1.098 μB/cell; crystal system = tetragonal
1.0
-1.889 1.889 4.139
1.889 -1.889 4.139
1.889 1.889 -4.139
Tl Fe Tc
1 1 2
Direct
0.000 0.000 0.000 Tl
0.500 0.500 0.000 Fe
0.250 0.750 0.500 Tc
0.750 0.250 0.500 Tc

=====

CuPdAu2Se, relaxed, DFT PBEsol; ΔE_f (raw) = 0.6938 eV/atom; total magnetic moment = 0.000 μB/cell; crystal system = tetragonal
1.0
4.855 0.000 0.000
0.000 4.855 0.000
0.000 0.000 4.301
Cu Pd Au Se
1 1 2 1
Direct
0.000 0.000 0.000 Cu
0.500 0.500 0.000 Pd
0.000 0.500 0.500 Au
0.500 0.000 0.500 Au
0.000 0.000 0.500 Se

=====

Rb2SrGaGe, relaxed, DFT PBEsol; energy relative to the elements = 3.544 eV/f.u.; total magnetic moment = 0.000 μB/cell; crystal system = tetragonal
1.0
7.140 0.000 0.000
0.000 7.140 0.000
0.000 0.000 5.508
Rb Sr Ga Ge
2 1 1 1
Direct
0.000 0.500 0.000 Rb
0.500 0.000 0.000 Rb
0.000 0.000 0.000 Sr
0.500 0.500 0.500 Ga
0.000 0.000 0.500 Ge

=====

Cu2SiTc, relaxed, DFT PBEsol; ΔE_f (raw) = -0.1044 eV/atom; total magnetic moment = 0.000 μB/cell; crystal system = orthorhombic
1.0
-1.384 2.029 4.361
1.384 -2.029 4.361
1.384 2.029 -4.361
Cu Si Tc
2 1 1
Direct
0.233 0.233 0.000 Cu
0.767 0.767 0.000 Cu
0.000 0.500 0.500 Si
0.500 0.000 0.500 Tc

=====

TiZnGa2, relaxed, DFT PBEsol; energy relative to the elements = -1.721 eV/f.u.; total magnetic moment = 0.000 μB/cell; crystal system = tetragonal
1.0
3.903 0.000 0.000
0.000 3.903 0.000
0.000 0.000 3.826
Ti Zn Ga
1 1 2
Direct
0.000 0.000 0.000 Ti
0.500 0.500 0.000 Zn
0.000 0.500 0.500 Ga
0.500 0.000 0.500 Ga

=====

AgRhN2, relaxed, DFT PBEsol; ΔE_f (raw) = 1.4409 eV/atom; total magnetic moment = 0.000 μB/cell; crystal system = cubic
1.0
0.000 2.734 2.734
2.734 0.000 2.734
2.734 2.734 0.000
Ag Rh N
1 1 2
Direct
0.000 0.000 0.000 Ag
0.500 0.500 0.500 Rh
0.250 0.250 0.250 N
0.750 0.750 0.750 N

=====

Sc2TlSnBi, relaxed, DFT PBEsol; energy relative to the elements = 1.913 eV/f.u.; total magnetic moment = 0.000 μB/cell; crystal system = tetragonal
1.0
5.370 0.000 0.000
0.000 5.370 0.000
0.000 0.000 5.401
Sc Tl Sn Bi
2 1 1 1
Direct
0.000 0.500 0.000 Sc
0.500 0.000 0.000 Sc
0.000 0.000 0.000 Tl
0.000 0.000 0.500 Sn
0.500 0.500 0.500 Bi

=====

K2ZrPt, relaxed, DFT PBEsol; energy relative to the elements = 2.493 eV/f.u.; total magnetic moment = 0.514 μB/cell; crystal system = orthorhombic
1.0
2.971 0.000 0.000
0.000 5.611 0.000
0.000 0.000 5.899
K Zr Pt
2 1 1
Direct
0.000 0.240 0.000 K
0.000 0.760 0.000 K
0.500 0.500 0.500 Zr
0.500 0.000 0.500 Pt

=====

ReAuSe2, relaxed, DFT PBEsol; ΔE_f (raw) = 0.8695 eV/atom; total magnetic moment = 0.001 μB/cell; crystal system = tetragonal
1.0
-1.966 1.966 4.332
1.966 -1.966 4.332
1.966 1.966 -4.332
Re Au Se
1 1 2
Direct
0.000 0.000 0.000 Re
0.250 0.750 0.500 Au
0.500 0.500 0.000 Se
0.750 0.250 0.500 Se

=====

What is the formula in the twelfth record?
ReAuSe2

=====

Which value of total magnetic moment does entry 2 give?
0.386 μB/cell